Entry 1:
# Cd2FeBr6

A geometry-optimized Cd2FeBr6 structure (GGA-PBE, the Alexandria database).

The space group is C2/c (No. 15) and the conventional cell measures 15.005, 14.878 and 7.001 Å, with angles of 90.00, 115.78 and 90.00 degrees. The inequivalent atoms are Cd at (0.230, 0.080, 0.416), Fe at (0.000, 0.280, 0.250), Br at (0.094, 0.373, 0.560), Br at (0.101, 0.191, 0.130) and Br at (0.204, 0.087, 0.763).

As for the total magnetic moment: 4.0 μB/f.u. As for the uncorrected formation energy: -0.680 eV per atom.


Entry 2:
# CaHgAs

A geometry-optimized CaHgAs structure (GGA-PBE, the Alexandria database).

The space group is F-43m (No. 216) and the conventional cell measures 6.968, 6.968 and 6.968 Å, with angles of 90.00, 90.00 and 90.00 degrees. The inequivalent atoms are Ca at (0.000, 0.000, 0.000), Hg at (0.250, 0.250, 0.750) and As at (0.250, 0.250, 0.250).

As for the total magnetic moment: 0.0 μB/f.u. The calculation puts the formation energy at -0.37 eV/atom.


Entry 3:
# Te3Au2I2

A geometry-optimized Te3Au2I2 structure (GGA-PBE, the Alexandria database).

The space group is C2/m (No. 12) and the conventional cell measures 14.194, 4.193 and 7.916 Å, with angles of 90.00, 104.91 and 90.00 degrees. The inequivalent atoms are Te at (0.000, 0.000, 0.000), Te at (0.205, 0.000, 0.779), Au at (0.120, 0.500, 0.903) and I at (0.114, 0.000, 0.401).

As for the total magnetic moment: 0.0 μB/f.u. As for the uncorrected formation energy: -0.003 eV per atom.


DFT total energy, respectively: -2.94; -2.69; -2.73 eV per atom.